1.
{
  "formula": "Tb3YSb2",
  "functional": "PBE",
  "state": "optimized geometry",
  "cell": [[4.492, 0.000, 0.000], [0.000, 4.492, 0.000], [0.000, 0.000, 8.512]],
  "species": ["Tb", "Tb", "Tb", "Y", "Sb", "Sb"],
  "fractional_positions": [[0.000, 0.000, 0.000], [0.000, 0.500, 0.649], [0.500, 0.000, 0.351], [0.500, 0.500, 0.000], [0.000, 0.500, 0.280], [0.500, 0.000, 0.720]],
  "de_polymorph_mev_per_atom": 0,
  "rho_g_cm3": 7.8,
  "energy_ev_per_fu": -33.5
}

---

2.
{
  "formula": "Zr2CdRu",
  "functional": "PBE",
  "state": "optimized geometry",
  "cell": [[0.000, 3.361, 3.361], [3.361, 0.000, 3.361], [3.361, 3.361, 0.000]],
  "species": ["Zr", "Zr", "Cd", "Ru"],
  "fractional_positions": [[0.000, 0.000, 0.000], [0.250, 0.250, 0.250], [0.750, 0.750, 0.750], [0.500, 0.500, 0.500]],
  "rho_g_cm3": 8.7,
  "energy_ev_per_fu": -27.5,
  "e_form_mev_per_atom": -58.5
}

---

3.
{
  "formula": "LiHo2SnO5",
  "functional": "PBE",
  "state": "optimized geometry",
  "cell": [[6.507, 0.000, 0.000], [0.000, 6.507, 0.000], [0.000, 0.000, 6.109]],
  "species": ["Li", "Li", "Ho", "Ho", "Ho", "Ho", "Sn", "Sn", "O", "O", "O", "O", "O", "O", "O", "O", "O", "O"],
  "fractional_positions": [[0.000, 0.000, 0.000], [0.500, 0.500, 0.000], [0.177, 0.323, 0.500], [0.323, 0.823, 0.500], [0.677, 0.177, 0.500], [0.823, 0.677, 0.500], [0.000, 0.500, 0.000], [0.500, 0.000, 0.000], [0.000, 0.000, 0.500], [0.144, 0.644, 0.262], [0.144, 0.644, 0.738], [0.356, 0.144, 0.262], [0.356, 0.144, 0.738], [0.500, 0.500, 0.500], [0.644, 0.856, 0.262], [0.644, 0.856, 0.738], [0.856, 0.356, 0.262], [0.856, 0.356, 0.738]],
  "rho_g_cm3": 6.9,
  "energy_ev_per_fu": -60.5
}

---

4.
{
  "formula": "TbNpTcRu",
  "functional": "PBE",
  "state": "optimized geometry",
  "cell": [[0.000, 3.387, 3.387], [3.387, 0.000, 3.387], [3.387, 3.387, 0.000]],
  "species": ["Tb", "Np", "Tc", "Ru"],
  "fractional_positions": [[0.000, 0.000, 0.000], [0.500, 0.500, 0.500], [0.250, 0.250, 0.250], [0.750, 0.750, 0.750]],
  "rho_g_cm3": 12.7,
  "energy_ev_per_fu": -37.2,
  "e_form_mev_per_atom": -6.2
}

---

5.
{
  "formula": "Tb4Tm3Ir4",
  "functional": "PBE",
  "state": "optimized geometry",
  "cell": [[-1.885, 4.318, 8.019], [1.885, -4.318, 8.019], [1.885, 4.318, -8.019]],
  "species": ["Tb", "Tb", "Tb", "Tb", "Tm", "Tm", "Tm", "Ir", "Ir", "Ir", "Ir"],
  "fractional_positions": [[0.023, 0.834, 0.189], [0.355, 0.166, 0.189], [0.645, 0.834, 0.811], [0.977, 0.166, 0.811], [0.000, 0.500, 0.500], [0.401, 0.401, 0.000], [0.599, 0.599, 0.000], [0.254, 0.754, 0.500], [0.287, 0.000, 0.287], [0.713, 0.000, 0.713], [0.746, 0.246, 0.500]],
  "rho_g_cm3": 12.2,
  "energy_ev_per_fu": -74.7,
  "e_form_mev_per_atom": -664.3
}

---

6.
{
  "formula": "BPt2Se",
  "functional": "PBE",
  "state": "optimized geometry",
  "cell": [[0.000, 3.069, 3.069], [3.069, 0.000, 3.069], [3.069, 3.069, 0.000]],
  "species": ["B", "Pt", "Pt", "Se"],
  "fractional_positions": [[0.000, 0.000, 0.000], [0.250, 0.250, 0.250], [0.750, 0.750, 0.750], [0.500, 0.500, 0.500]],
  "de_polymorph_mev_per_atom": 737,
  "rho_g_cm3": 13.8,
  "energy_ev_per_fu": -19.3
}

---

7.
{
  "formula": "SrLiGa2Pd2",
  "functional": "PBE",
  "state": "optimized geometry",
  "cell": [[4.427, 0.000, 0.000], [-2.213, 3.834, 0.000], [0.000, 0.000, 7.073]],
  "species": ["Sr", "Li", "Ga", "Ga", "Pd", "Pd"],
  "fractional_positions": [[0.000, 0.000, 0.000], [0.000, 0.000, 0.500], [0.333, 0.667, 0.323], [0.667, 0.333, 0.677], [0.333, 0.667, 0.687], [0.667, 0.333, 0.313]],
  "rho_g_cm3": 6.2,
  "energy_ev_per_fu": -24.0,
  "e_form_mev_per_atom": -666.7
}

---

8.
{
  "formula": "Zn7Ni6",
  "functional": "PBE",
  "state": "optimized geometry",
  "cell": [[2.419, 1.396, 8.237], [-2.419, 1.396, 8.237], [0.000, -2.793, 8.237]],
  "species": ["Zn", "Zn", "Zn", "Zn", "Zn", "Zn", "Zn", "Ni", "Ni", "Ni", "Ni", "Ni", "Ni"],
  "fractional_positions": [[0.000, 0.000, 0.000], [0.087, 0.087, 0.580], [0.087, 0.580, 0.087], [0.420, 0.913, 0.913], [0.580, 0.087, 0.087], [0.913, 0.420, 0.913], [0.913, 0.913, 0.420], [0.166, 0.166, 0.166], [0.347, 0.347, 0.347], [0.453, 0.453, 0.453], [0.547, 0.547, 0.547], [0.653, 0.653, 0.653], [0.834, 0.834, 0.834]],
  "rho_g_cm3": 8.1,
  "energy_ev_per_fu": -43.0,
  "e_form_mev_per_atom": 50.1
}

---

9.
{
  "formula": "MnHgPBr",
  "functional": "PBE",
  "state": "optimized geometry",
  "cell": [[6.179, -2.479, 0.000], [6.179, 2.479, 0.000], [-0.439, 0.000, 3.769]],
  "species": ["Mn", "Hg", "P", "Br"],
  "fractional_positions": [[0.000, 0.000, 0.000], [0.557, 0.557, 0.271], [0.102, 0.102, 0.532], [0.811, 0.811, 0.894]],
  "de_polymorph_mev_per_atom": 173,
  "rho_g_cm3": 5.3,
  "energy_ev_per_fu": -16.6
}

---

10.
{
  "formula": "Tb2DyYHo",
  "functional": "PBE",
  "state": "optimized geometry",
  "cell": [[4.170, -5.726, 0.000], [4.170, 5.726, 0.000], [0.000, 0.000, 7.193]],
  "species": ["Tb", "Tb", "Tb", "Tb", "Dy", "Dy", "Y", "Y", "Ho", "Ho"],
  "fractional_positions": [[0.192, 0.192, 0.000], [0.192, 0.192, 0.500], [0.808, 0.808, 0.000], [0.808, 0.808, 0.500], [0.216, 0.784, 0.750], [0.784, 0.216, 0.250], [0.234, 0.766, 0.250], [0.766, 0.234, 0.750], [0.485, 0.515, 0.750], [0.515, 0.485, 0.250]],
  "rho_g_cm3": 7.1,
  "energy_ev_per_fu": -22.9,
  "e_form_mev_per_atom": 405.6
}

---

11.
{
  "formula": "Ho2MnHg",
  "functional": "PBE",
  "state": "optimized geometry",
  "cell": [[3.527, 0.000, 0.000], [0.000, 3.527, 0.000], [0.000, 0.000, 7.555]],
  "species": ["Ho", "Ho", "Mn", "Hg"],
  "fractional_positions": [[0.000, 0.000, 0.229], [0.000, 0.000, 0.771], [0.500, 0.500, 0.000], [0.500, 0.500, 0.500]],
  "de_polymorph_mev_per_atom": 0,
  "rho_g_cm3": 10.3,
  "energy_ev_per_fu": -19.3,
  "e_form_mev_per_atom": -161.1
}

---

12.
{
  "formula": "TiTlBi2",
  "functional": "PBE",
  "state": "optimized geometry",
  "cell": [[1.698, 0.980, 11.569], [-1.698, 0.980, 11.569], [0.000, -1.960, 11.569]],
  "species": ["Ti", "Tl", "Bi", "Bi"],
  "fractional_positions": [[0.000, 0.000, 0.000], [0.500, 0.500, 0.500], [0.399, 0.399, 0.399], [0.601, 0.601, 0.601]],
  "de_polymorph_mev_per_atom": 17,
  "rho_g_cm3": 9.6,
  "energy_ev_per_fu": -18.1,
  "e_form_mev_per_atom": -7.0
}

---

13.
{
  "formula": "Dy3Sb2N",
  "functional": "PBE",
  "state": "optimized geometry",
  "cell": [[5.572, -4.184, 0.000], [5.572, 4.184, 0.000], [0.000, 0.000, 6.427]],
  "species": ["Dy", "Dy", "Dy", "Dy", "Dy", "Dy", "Sb", "Sb", "Sb", "Sb", "N", "N"],
  "fractional_positions": [[0.157, 0.843, 0.750], [0.352, 0.352, 0.000], [0.352, 0.352, 0.500], [0.648, 0.648, 0.000], [0.648, 0.648, 0.500], [0.843, 0.157, 0.250], [0.026, 0.667, 0.250], [0.333, 0.974, 0.250], [0.667, 0.026, 0.750], [0.974, 0.333, 0.750], [0.427, 0.573, 0.750], [0.573, 0.427, 0.250]],
  "rho_g_cm3": 8.3,
  "energy_ev_per_fu": -37.0
}

---

14.
{
  "formula": "Nd4PHS2",
  "functional": "PBE",
  "state": "optimized geometry",
  "cell": [[-2.858, 2.858, 5.737], [2.858, -2.858, 5.737], [2.858, 2.858, -5.737]],
  "species": ["Nd", "Nd", "Nd", "Nd", "P", "H", "S", "S"],
  "fractional_positions": [[0.244, 0.244, 0.000], [0.502, 0.002, 0.500], [0.756, 0.756, 0.000], [0.998, 0.498, 0.500], [0.750, 0.250, 0.500], [0.500, 0.500, 0.000], [0.000, 0.000, 0.000], [0.250, 0.750, 0.500]],
  "rho_g_cm3": 6.0,
  "energy_ev_per_fu": -47.6
}

---

15.
{
  "formula": "Ba4RhI2",
  "functional": "PBE",
  "state": "optimized geometry",
  "cell": [[-3.088, 3.088, 8.707], [3.088, -3.088, 8.707], [3.088, 3.088, -8.707]],
  "species": ["Ba", "Ba", "Ba", "Ba", "Rh", "I", "I"],
  "fractional_positions": [[0.000, 0.500, 0.500], [0.179, 0.179, 0.000], [0.500, 0.000, 0.500], [0.821, 0.821, 0.000], [0.000, 0.000, 0.000], [0.382, 0.382, 0.000], [0.618, 0.618, 0.000]],
  "de_polymorph_mev_per_atom": 132,
  "rho_g_cm3": 4.5,
  "energy_ev_per_fu": -23.3
}

---

16.
{
  "formula": "Ta2CoPt",
  "functional": "PBE",
  "state": "optimized geometry",
  "cell": [[1.432, 0.827, 9.009], [-1.432, 0.827, 9.009], [0.000, -1.654, 9.009]],
  "species": ["Ta", "Ta", "Co", "Pt"],
  "fractional_positions": [[0.000, 0.000, 0.000], [0.238, 0.238, 0.238], [0.498, 0.498, 0.498], [0.750, 0.750, 0.750]],
  "rho_g_cm3": 16.0,
  "energy_ev_per_fu": -36.9,
  "e_form_mev_per_atom": -2.4
}

---

17.
{
  "formula": "RbZrSc",
  "functional": "PBE",
  "state": "optimized geometry",
  "cell": [[5.975, 0.000, 0.000], [-2.987, 5.174, 0.000], [0.000, 0.000, 3.059]],
  "species": ["Rb", "Zr", "Sc"],
  "fractional_positions": [[0.000, 0.000, 0.000], [0.667, 0.333, 0.500], [0.333, 0.667, 0.500]],
  "de_polymorph_mev_per_atom": 777,
  "rho_g_cm3": 3.9,
  "energy_ev_per_fu": -12.7,
  "e_form_mev_per_atom": 1052.2
}

---

18.
{
  "formula": "CsIO2",
  "functional": "PBE",
  "state": "optimized geometry",
  "cell": [[0.000, 3.710, 3.710], [3.710, 0.000, 3.710], [3.710, 3.710, 0.000]],
  "species": ["Cs", "I", "O", "O"],
  "fractional_positions": [[0.000, 0.000, 0.000], [0.500, 0.500, 0.500], [0.250, 0.250, 0.250], [0.750, 0.750, 0.750]],
  "de_polymorph_mev_per_atom": 1059,
  "rho_g_cm3": 4.7,
  "energy_ev_per_fu": -11.0
}

---

19.
{
  "formula": "BaSb4Au6",
  "functional": "PBE",
  "state": "optimized geometry",
  "cell": [[-3.847, 3.847, 4.958], [3.847, -3.847, 4.958], [3.847, 3.847, -4.958]],
  "species": ["Ba", "Sb", "Sb", "Sb", "Sb", "Au", "Au", "Au", "Au", "Au", "Au"],
  "fractional_positions": [[0.000, 0.000, 0.000], [0.190, 0.594, 0.000], [0.406, 0.406, 0.597], [0.594, 0.190, 0.000], [0.810, 0.810, 0.403], [0.000, 0.500, 0.500], [0.172, 0.172, 0.702], [0.471, 0.471, 0.298], [0.500, 0.000, 0.500], [0.529, 0.828, 0.000], [0.828, 0.529, 0.000]],
  "rho_g_cm3": 10.2,
  "energy_ev_per_fu": -39.6
}

---

20.
{
  "formula": "Np4S3F7",
  "functional": "PBE",
  "state": "optimized geometry",
  "cell": [[7.658, -1.921, 0.000], [7.658, 1.921, 0.000], [-5.737, 0.000, 7.699]],
  "species": ["Np", "Np", "Np", "Np", "S", "S", "S", "F", "F", "F", "F", "F", "F", "F"],
  "fractional_positions": [[0.106, 0.106, 0.295], [0.339, 0.339, 0.243], [0.661, 0.661, 0.757], [0.894, 0.894, 0.705], [0.000, 0.000, 0.500], [0.304, 0.304, 0.794], [0.696, 0.696, 0.206], [0.000, 0.000, 0.000], [0.172, 0.172, 0.919], [0.318, 0.318, 0.491], [0.490, 0.490, 0.223], [0.510, 0.510, 0.777], [0.682, 0.682, 0.509], [0.828, 0.828, 0.081]],
  "rho_g_cm3": 8.6,
  "energy_ev_per_fu": -114.9
}

---

21.
{
  "formula": "SnBr2N",
  "functional": "PBE",
  "state": "optimized geometry",
  "cell": [[7.947, -1.806, 0.000], [7.947, 1.806, 0.000], [-4.402, 0.000, 8.500]],
  "species": ["Sn", "Sn", "Br", "Br", "Br", "Br", "N", "N"],
  "fractional_positions": [[0.129, 0.129, 0.238], [0.871, 0.871, 0.762], [0.107, 0.107, 0.955], [0.312, 0.312, 0.381], [0.688, 0.688, 0.619], [0.893, 0.893, 0.045], [0.418, 0.418, 0.712], [0.582, 0.582, 0.288]],
  "de_polymorph_mev_per_atom": 0,
  "rho_g_cm3": 4.0,
  "energy_ev_per_fu": -14.7
}

---

22.
{
  "formula": "LaTi2In",
  "functional": "PBE",
  "state": "optimized geometry",
  "cell": [[0.000, 3.503, 3.503], [3.503, 0.000, 3.503], [3.503, 3.503, 0.000]],
  "species": ["La", "Ti", "Ti", "In"],
  "fractional_positions": [[0.000, 0.000, 0.000], [0.250, 0.250, 0.250], [0.750, 0.750, 0.750], [0.500, 0.500, 0.500]],
  "de_polymorph_mev_per_atom": 0,
  "rho_g_cm3": 6.7,
  "energy_ev_per_fu": -23.0,
  "e_form_mev_per_atom": 117.3
}

---

23.
{
  "formula": "Ca4Cd2Au",
  "functional": "PBE",
  "state": "optimized geometry",
  "cell": [[2.668, 1.540, 8.652], [-2.668, 1.540, 8.652], [0.000, -3.081, 8.652]],
  "species": ["Ca", "Ca", "Ca", "Ca", "Cd", "Cd", "Au"],
  "fractional_positions": [[0.122, 0.122, 0.122], [0.372, 0.372, 0.372], [0.628, 0.628, 0.628], [0.878, 0.878, 0.878], [0.248, 0.248, 0.248], [0.752, 0.752, 0.752], [0.000, 0.000, 0.000]],
  "rho_g_cm3": 4.5,
  "energy_ev_per_fu": -15.6,
  "e_form_mev_per_atom": -357.1
}

---

24.
{
  "formula": "SrS",
  "functional": "PBE",
  "state": "optimized geometry",
  "cell": [[8.177, 0.000, 0.000], [0.000, 8.177, 0.000], [0.000, 0.000, 8.177]],
  "species": ["Sr", "Sr", "Sr", "Sr", "Sr", "Sr", "S", "S", "S", "S", "S", "S"],
  "fractional_positions": [[0.000, 0.250, 0.500], [0.000, 0.750, 0.500], [0.250, 0.500, 0.000], [0.500, 0.000, 0.250], [0.500, 0.000, 0.750], [0.750, 0.500, 0.000], [0.000, 0.500, 0.250], [0.000, 0.500, 0.750], [0.250, 0.000, 0.500], [0.500, 0.250, 0.000], [0.500, 0.750, 0.000], [0.750, 0.000, 0.500]],
  "de_polymorph_mev_per_atom": 294,
  "rho_g_cm3": 2.2,
  "energy_ev_per_fu": -9.5
}

---

25.
{
  "formula": "Be2CrAgHg",
  "functional": "PBE",
  "state": "optimized geometry",
  "cell": [[4.350, 0.000, 0.000], [0.000, 4.350, 0.000], [0.000, 0.000, 5.088]],
  "species": ["Be", "Be", "Cr", "Ag", "Hg"],
  "fractional_positions": [[0.000, 0.500, 0.000], [0.500, 0.000, 0.000], [0.000, 0.000, 0.000], [0.500, 0.500, 0.500], [0.000, 0.000, 0.500]],
  "rho_g_cm3": 6.5,
  "energy_ev_per_fu": -14.3,
  "e_form_mev_per_atom": 1182.5
}